No. 1
Hf4Sn2Sb5: optimized geometry, GGA-PBE.

For the formation energy without anion corrections, the calculation gives -0.1234 eV/atom.

The space group is C2/m (No. 12) and the conventional cell measures 23.3163, 3.1408 and 7.5789 Å, with angles of 90.00, 94.11 and 90.00 degrees. The inequivalent atoms are Hf at (0.0353, 0.0000, 0.3186), Hf at (0.1774, 0.5000, 0.4686), Sn at (0.2275, 0.0000, 0.8011), Sb at (0.0000, 0.5000, 0.0000), Sb at (0.0926, 0.0000, 0.6663) and Sb at (0.1447, 0.0000, 0.1365).


No. 2
AcPuAu2: optimized geometry, GGA-PBE.

As for the energy relative to the elements: -54.2 kJ/mol of atoms.

The space group is P4/mmm (No. 123) and the conventional cell measures 3.7853, 3.7853 and 7.4960 Å, with angles of 90.00, 90.00 and 90.00 degrees. The inequivalent atoms are Ac at (0.0000, 0.0000, 0.0000), Pu at (0.0000, 0.0000, 0.5000) and Au at (0.5000, 0.5000, 0.2704).


No. 3
ZrHPt: optimized geometry, GGA-PBE.

The calculation puts the electronic total energy at -80.1 eV for the cell shown.

The space group is Amm2 (No. 38) and the conventional cell measures 4.4894, 3.4823 and 10.5933 Å, with angles of 90.00, 90.00 and 90.00 degrees. The inequivalent atoms are Zr at (0.0000, 0.0000, 0.0000), Zr at (0.5000, 0.0000, 0.2791), H at (0.2211, 0.0000, 0.4451), Pt at (0.0000, 0.0000, 0.7308) and Pt at (0.5000, 0.0000, 0.5684).


Q: Number 3 is which compound?
A: ZrHPt